This record from Alexandria describes Tb2TiGa after structural relaxation. The functional is GGA-PBE.

CIF file:
```
data_Tb2TiGa
_chemical_formula_sum 'Tb2 Ti1 Ga1'
_cell_length_a 4.604
_cell_length_b 4.604
_cell_length_c 4.357
_cell_angle_alpha 90.00
_cell_angle_beta 90.00
_cell_angle_gamma 90.00
_symmetry_space_group_name_H-M 'P 4/m m m'
_symmetry_Int_Tables_number 123
_symmetry_space_group_name_Hall '-P 4 2'
loop_
_atom_site_label
_atom_site_type_symbol
_atom_site_fract_x
_atom_site_fract_y
_atom_site_fract_z
Tb1 Tb 0.000 0.500 0.000
Ti1 Ti 0.000 0.000 0.500
Ga1 Ga 0.500 0.500 0.500
```

---

This record from Alexandria describes TbTi2Ga6 after structural relaxation. The functional is GGA-PBE.

CIF file:
```
data_TbTi2Ga6
_chemical_formula_sum 'Tb2 Ti4 Ga12'
_cell_length_a 4.078
_cell_length_b 6.679
_cell_length_c 12.344
_cell_angle_alpha 90.00
_cell_angle_beta 90.00
_cell_angle_gamma 90.00
_symmetry_space_group_name_H-M 'I m m m'
_symmetry_Int_Tables_number 71
_symmetry_space_group_name_Hall '-I 2 2'
loop_
_atom_site_label
_atom_site_type_symbol
_atom_site_fract_x
_atom_site_fract_y
_atom_site_fract_z
Tb1 Tb 0.000 0.000 0.000
Ti1 Ti 0.000 0.500 0.116
Ga1 Ga 0.000 0.182 0.500
Ga2 Ga 0.000 0.296 0.307
```

---

This record from Alexandria describes TbTiGa2 after structural relaxation. The functional is GGA-PBE.

CIF file:
```
data_TbTiGa2
_chemical_formula_sum 'Tb1 Ti1 Ga2'
_cell_length_a 3.461
_cell_length_b 3.461
_cell_length_c 6.482
_cell_angle_alpha 90.00
_cell_angle_beta 90.00
_cell_angle_gamma 90.00
_symmetry_space_group_name_H-M 'P 4/m m m'
_symmetry_Int_Tables_number 123
_symmetry_space_group_name_Hall '-P 4 2'
loop_
_atom_site_label
_atom_site_type_symbol
_atom_site_fract_x
_atom_site_fract_y
_atom_site_fract_z
Tb1 Tb 0.000 0.000 0.000
Ti1 Ti 0.000 0.000 0.500
Ga1 Ga 0.500 0.500 0.292
```

---

This record from Alexandria describes TbTiGa after structural relaxation. The functional is GGA-PBE.

CIF file:
```
data_TbTiGa
_chemical_formula_sum 'Tb1 Ti1 Ga1'
_cell_length_a 4.5159
_cell_length_b 4.5159
_cell_length_c 3.7650
_cell_angle_alpha 90.00
_cell_angle_beta 90.00
_cell_angle_gamma 120.00
_symmetry_space_group_name_H-M 'P -6 m 2'
_symmetry_Int_Tables_number 187
_symmetry_space_group_name_Hall 'P -6 2'
loop_
_atom_site_label
_atom_site_type_symbol
_atom_site_fract_x
_atom_site_fract_y
_atom_site_fract_z
Tb1 Tb 0.0000 0.0000 0.0000
Ti1 Ti 0.3333 0.6667 0.5000
Ga1 Ga 0.6667 0.3333 0.5000
```

---

This record from Alexandria describes Tb2TiGa after structural relaxation. The functional is GGA-PBE.

CIF file:
```
data_Tb2TiGa
_chemical_formula_sum 'Tb2 Ti1 Ga1'
_cell_length_a 3.426
_cell_length_b 3.426
_cell_length_c 8.161
_cell_angle_alpha 90.00
_cell_angle_beta 90.00
_cell_angle_gamma 90.00
_symmetry_space_group_name_H-M 'P 4/m m m'
_symmetry_Int_Tables_number 123
_symmetry_space_group_name_Hall '-P 4 2'
loop_
_atom_site_label
_atom_site_type_symbol
_atom_site_fract_x
_atom_site_fract_y
_atom_site_fract_z
Tb1 Tb 0.000 0.000 0.239
Ti1 Ti 0.500 0.500 0.500
Ga1 Ga 0.500 0.500 0.000
```

---

This record from Alexandria describes TbTiGa after structural relaxation. The functional is GGA-PBE.

CIF file:
```
data_TbTiGa
_chemical_formula_sum 'Tb2 Ti2 Ga2'
_cell_length_a 4.120
_cell_length_b 4.120
_cell_length_c 7.728
_cell_angle_alpha 90.00
_cell_angle_beta 90.00
_cell_angle_gamma 90.00
_symmetry_space_group_name_H-M 'P 4/n m m'
_symmetry_Int_Tables_number 129
loop_
_symmetry_equiv_pos_as_xyz
'x,y,z'
'-x,-y,-z'
'-y+1/2,x,z'
'y+1/2,-x,-z'
'-x+1/2,-y+1/2,z'
'x+1/2,y+1/2,-z'
'y,-x+1/2,z'
'-y,x+1/2,-z'
'x+1/2,-y,-z'
'-x+1/2,y,z'
'-y,-x,-z'
'y,x,z'
'-x,y+1/2,-z'
'x,-y+1/2,z'
'y+1/2,x+1/2,-z'
'-y+1/2,-x+1/2,z'
loop_
_atom_site_label
_atom_site_type_symbol
_atom_site_fract_x
_atom_site_fract_y
_atom_site_fract_z
Tb1 Tb 0.250 0.250 0.158
Ti1 Ti 0.250 0.750 0.500
Ga1 Ga 0.250 0.250 0.740
```

---

no.,final energy (eV per formula unit),energy of formation from the pure elements (meV/atom)
1,-20.7,-129
2,-41.9,-372
3,-20.3,-434
4,-16.1,-179
5,-20.7,-127
6,-16.7,-391